Below is a relaxed structure of Y3PuPa2N6, with properties calculated at the PBE-GGA level.

```
data_Y3PuPa2N6
_cell_length_a 6.051
_cell_length_b 10.477
_cell_length_c 6.054
_cell_angle_alpha 90.00
_cell_angle_beta 109.50
_cell_angle_gamma 90.00
_symmetry_space_group_name_H-M 'C 1 2/m 1'
_symmetry_Int_Tables_number 12
_symmetry_space_group_name_Hall '-C 2y'
loop_
_atom_site_label
_atom_site_type_symbol
_atom_site_fract_x
_atom_site_fract_y
_atom_site_fract_z
Y1 Y 0.000 0.000 0.000
Y2 Y 0.000 0.335 0.000
Pu1 Pu 0.000 0.500 0.500
Pa1 Pa 0.000 0.167 0.500
N1 N 0.237 0.000 0.742
N2 N 0.248 0.172 0.260
```

## Properties
density	9.7	g/cm³
energy relative to the elements, uncorrected	-37.0	kcal/mol of atoms
calculated volume	362	Å³/cell